[1]
First-principles (GGA-PBE) data for an optimized crystal structure of Pr2NpSb3, as listed in Alexandria via LeMat-Bulk.

abc: 7.8001 7.8001 7.8124
angles: 99.58 99.58 120.04
Closest atoms and distances in Å follow each position.
Sites, in units of the cell vectors:
Np 0.6659 0.3341 0.0000  6 Sb 3.13
Sb 0.2521 0.2453 0.7574  2 Np 3.13, 4 Pr 3.20-3.24
Pr 0.3333 0.6667 0.0000  6 Sb 3.19-3.20
Sb 0.9120 0.5854 0.7574  2 Np 3.13, 4 Pr 3.20-3.24
Sb 0.4146 0.0880 0.2426  2 Np 3.13, 4 Pr 3.20-3.24
Pr 0.1693 0.8307 0.5000  6 Sb 3.20-3.24
Sb 0.7547 0.7479 0.2426  2 Np 3.13, 4 Pr 3.20-3.24
Pr 0.4973 0.5027 0.5000  6 Sb 3.20-3.24
Sb 0.0731 0.4064 0.2410  2 Np 3.13, 4 Pr 3.18-3.22
Np 0.0007 0.9993 0.0000  6 Sb 3.13
Pr 0.8333 0.1667 0.5000  6 Sb 3.18-3.24
Sb 0.5936 0.9269 0.7590  2 Np 3.13, 4 Pr 3.18-3.22

Results
Space-group type ... C2/m (12)
Raw formation energy ... -5.10 eV/f.u.
Theoretical density ... 7.57 g/cm³
Energy ... -6.6619 eV per atom
Crystal system ... monoclinic
Calculated volume ... 32.33 Å³/atom

=====

[2]
First-principles (GGA-PBE) data for an optimized crystal structure of AcHoTl, as listed in Alexandria via LeMat-Bulk.

abc: 5.4397 5.4397 5.4397
angles: 60.00 60.00 60.00
Closest atoms and distances in Å follow each position.
Sites, in units of the cell vectors:
Tl 0.2500 0.2500 0.2500  4 Ac 3.33, 4 Ho 3.33
Ac 0.5000 0.5000 0.5000  4 Tl 3.33
Ho 0.0000 0.0000 0.0000  4 Tl 3.33

Results
Space-group type ... F-43m (216)
Offset from the most stable computed form ... 254 meV/atom
Theoretical density ... 8.70 g/cm³
Energy ... -3.6820 eV per atom
Crystal system ... cubic
Calculated volume ... 37.94 Å³/atom
Energy of formation ... 0.002 eV/atom

=====

[3]
First-principles (GGA-PBE) data for an optimized crystal structure of NaZn4Au7, as listed in Alexandria via LeMat-Bulk.

abc: 4.9859 8.3308 6.2311
angles: 82.51 66.42 72.59
Closest atoms and distances in Å follow each position.
Sites, in units of the cell vectors:
Zn 0.4175 0.7841 0.3808  8 Au 2.67-2.90, 1 Zn 2.85
Au 0.6430 0.4429 0.2711  5 Zn 2.67-2.85, 2 Au 2.78-2.79
Zn 0.2900 0.3286 0.0914  6 Au 2.63-2.85, 1 Zn 2.85
Au 0.3570 0.5571 0.7289  5 Zn 2.67-2.85, 2 Au 2.78-2.79
Au 0.9257 0.3441 0.8045  5 Zn 2.68-2.99, 2 Au 2.72-2.79, 1 Na 2.94
Zn 0.5825 0.2159 0.6192  8 Au 2.67-2.90, 1 Zn 2.85
Zn 0.7100 0.6714 0.9086  6 Au 2.63-2.85, 1 Zn 2.85
Au 0.0743 0.6559 0.1955  5 Zn 2.68-2.99, 2 Au 2.72-2.79, 1 Na 2.94
Au 0.7843 0.8821 0.5493  4 Zn 2.63-2.79, 2 Au 2.72-2.75
Na 0.0000 0.0000 0.0000  2 Au 2.49
Au 0.5000 0.0000 0.0000  2 Na 2.49, 4 Zn 2.67-2.75, 2 Au 2.75
Au 0.2157 0.1179 0.4507  4 Zn 2.63-2.79, 2 Au 2.72-2.75

Results
Space-group type ... C2/m (12)
Theoretical density ... 12.20 g/cm³
Energy ... -2.5662 eV per atom
Crystal system ... monoclinic
Calculated volume ... 18.86 Å³/atom
Energy of formation ... -0.120 eV/atom

=====

Among the records above, which one has the highest theoretical density?
NaZn4Au7

=====

What did the third record say?
First-principles (GGA-PBE) data for an optimized crystal structure of NaZn4Au7, as listed in Alexandria via LeMat-Bulk.

abc: 4.9859 8.3308 6.2311
angles: 82.51 66.42 72.59
Closest atoms and distances in Å follow each position.
Sites, in units of the cell vectors:
Zn 0.4175 0.7841 0.3808  8 Au 2.67-2.90, 1 Zn 2.85
Au 0.6430 0.4429 0.2711  5 Zn 2.67-2.85, 2 Au 2.78-2.79
Zn 0.2900 0.3286 0.0914  6 Au 2.63-2.85, 1 Zn 2.85
Au 0.3570 0.5571 0.7289  5 Zn 2.67-2.85, 2 Au 2.78-2.79
Au 0.9257 0.3441 0.8045  5 Zn 2.68-2.99, 2 Au 2.72-2.79, 1 Na 2.94
Zn 0.5825 0.2159 0.6192  8 Au 2.67-2.90, 1 Zn 2.85
Zn 0.7100 0.6714 0.9086  6 Au 2.63-2.85, 1 Zn 2.85
Au 0.0743 0.6559 0.1955  5 Zn 2.68-2.99, 2 Au 2.72-2.79, 1 Na 2.94
Au 0.7843 0.8821 0.5493  4 Zn 2.63-2.79, 2 Au 2.72-2.75
Na 0.0000 0.0000 0.0000  2 Au 2.49
Au 0.5000 0.0000 0.0000  2 Na 2.49, 4 Zn 2.67-2.75, 2 Au 2.75
Au 0.2157 0.1179 0.4507  4 Zn 2.63-2.79, 2 Au 2.72-2.75

Results
Space-group type ... C2/m (12)
Theoretical density ... 12.20 g/cm³
Energy ... -2.5662 eV per atom
Crystal system ... monoclinic
Calculated volume ... 18.86 Å³/atom
Energy of formation ... -0.120 eV/atom